Below is an optimized crystal structure of KNiBr, with properties calculated at the PBE level.

Lattice parameters (Å, degrees): 10.2222 3.6203 8.9272 90.00 90.00 90.00
Space group Pnma (No. 62)
Symmetry-distinct sites (fractional):
K  0.2199  0.2500  0.0077 x4
Ni  0.0150  0.2500  0.5899 x4
Br  0.0410  0.7500  0.7706 x4

Results
Final energy = -9.71 eV per formula unit
Energy relative to the elements, uncorrected = -0.38 eV per atom